Record 1
## SnTeHN2 (PBE)

Data for crystalline SnTeHN2 at its relaxed geometry.

Values from the calculation:
For the final energy, the calculation gives -18.53 eV per cell. Its space group is P4/mmm, No. 123. The calculation puts the distance to the lowest polymorph of the same formula at 26.4 meV/atom.

Structure (POSCAR):
```
SnTeHN2
1.0
4.4339 0.0000 0.0000
0.0000 4.4339 0.0000
0.0000 0.0000 3.4212
Sn Te H N
1 1 1 2
Cartesian
0.0000 0.0000 0.0000
2.2169 2.2169 0.0000
2.2169 2.2169 1.7106
0.0000 2.2169 1.7106
2.2169 0.0000 1.7106
```

---

Record 2
## SnTe2HN (PBE)

Data for crystalline SnTe2HN at its relaxed geometry.

Values from the calculation:
For the final energy, the calculation gives -15.42 eV per cell. Its space group is P4/mmm, No. 123. The calculation puts the distance to the lowest polymorph of the same formula at 150.9 meV/atom.

Structure (POSCAR):
```
SnTe2HN
1.0
6.0815 0.0000 0.0000
0.0000 6.0815 0.0000
0.0000 0.0000 3.8443
Sn Te H N
1 2 1 1
Cartesian
0.0000 0.0000 0.0000
0.0000 3.0407 0.0000
3.0407 0.0000 0.0000
3.0407 3.0407 1.9222
0.0000 0.0000 1.9222
```